MnTc | GGA-PBE | relaxed

## Properties
* energy of formation from the pure elements: 0.7992 eV per atom
* symmetry: No. 136
* electronic total energy: -71.7 eV for the cell shown

Structure (POSCAR):
```
MnTc
1.0
4.9518 0.0000 0.0000
0.0000 4.9518 0.0000
0.0000 0.0000 4.5477
Mn Tc
4 4
direct
0.1805 0.1805 0.0000
0.3195 0.6805 0.5000
0.6805 0.3195 0.5000
0.8195 0.8195 0.0000
0.1886 0.1886 0.5000
0.3114 0.6886 0.0000
0.6886 0.3114 0.0000
0.8114 0.8114 0.5000
```